(1)
A relaxed NbFe2HIr crystal. Source: Alexandria, functional PBE-GGA.

Lattice parameters (Å, degrees): 3.8146 3.8146 3.7946 90.00 90.00 90.00
Atoms (fractional coordinates):
Nb (0.0000, 0.0000, 0.0000)
Fe (0.0000, 0.5000, 0.5000)
Fe (0.5000, 0.0000, 0.5000)
H (0.5000, 0.5000, 0.5000)
Ir (0.5000, 0.5000, 0.0000)

Output
E above lowest polymorph, meV per atom: 4
M_tot, μB per atom: 0.16

(2)
A relaxed NbFeHIr2 crystal. Source: Alexandria, functional PBE-GGA.

Lattice parameters (Å, degrees): 3.9111 3.9111 4.0143 90.00 90.00 90.00
Atoms (fractional coordinates):
Nb (0.0000, 0.0000, 0.0000)
Fe (0.5000, 0.5000, 0.0000)
H (0.0000, 0.0000, 0.5000)
Ir (0.0000, 0.5000, 0.5000)
Ir (0.5000, 0.0000, 0.5000)

Output
E above lowest polymorph, meV per atom: 94
M_tot, μB per atom: 0.38

(3)
A relaxed NbFe2HIr crystal. Source: Alexandria, functional PBE-GGA.

Lattice parameters (Å, degrees): 3.7553 3.7553 3.9209 90.00 90.00 90.00
Atoms (fractional coordinates):
Nb (0.0000, 0.0000, 0.0000)
Fe (0.0000, 0.5000, 0.5000)
Fe (0.5000, 0.0000, 0.5000)
H (0.0000, 0.0000, 0.5000)
Ir (0.5000, 0.5000, 0.0000)

Output
E above lowest polymorph, meV per atom: 0
M_tot, μB per atom: 0.17

(4)
A relaxed Nb2FeHIr crystal. Source: Alexandria, functional PBE-GGA.

Lattice parameters (Å, degrees): 4.1075 4.1075 3.7698 90.00 90.00 90.00
Atoms (fractional coordinates):
Nb (0.0000, 0.5000, 0.0000)
Nb (0.5000, 0.0000, 0.0000)
Fe (0.0000, 0.0000, 0.5000)
H (0.0000, 0.0000, 0.0000)
Ir (0.5000, 0.5000, 0.5000)

Output
E above lowest polymorph, meV per atom: 0
M_tot, μB per atom: 0.20

(5)
A relaxed Nb2FeHIr crystal. Source: Alexandria, functional PBE-GGA.

Lattice parameters (Å, degrees): 4.0726 4.0726 3.9150 90.00 90.00 90.00
Atoms (fractional coordinates):
Nb (0.0000, 0.5000, 0.0000)
Nb (0.5000, 0.0000, 0.0000)
Fe (0.0000, 0.0000, 0.5000)
H (0.5000, 0.5000, 0.0000)
Ir (0.5000, 0.5000, 0.5000)

Output
E above lowest polymorph, meV per atom: 94
M_tot, μB per atom: 0.31

(6)
A relaxed FeNi2HIr crystal. Source: Alexandria, functional PBE-GGA.

Lattice parameters (Å, degrees): 3.6897 3.6897 3.7993 90.00 90.00 90.00
Atoms (fractional coordinates):
Fe (0.0000, 0.0000, 0.0000)
Ni (0.0000, 0.5000, 0.5000)
Ni (0.5000, 0.0000, 0.5000)
H (0.5000, 0.5000, 0.5000)
Ir (0.5000, 0.5000, 0.0000)

Output
E above lowest polymorph, meV per atom: 0
M_tot, μB per atom: 0.98

(7)
A relaxed FeNiHIr2 crystal. Source: Alexandria, functional PBE-GGA.

Lattice parameters (Å, degrees): 3.8569 3.8569 3.7435 90.00 90.00 90.00
Atoms (fractional coordinates):
Fe (0.0000, 0.0000, 0.0000)
Ni (0.5000, 0.5000, 0.0000)
H (0.0000, 0.0000, 0.5000)
Ir (0.0000, 0.5000, 0.5000)
Ir (0.5000, 0.0000, 0.5000)

Output
E above lowest polymorph, meV per atom: 39
M_tot, μB per atom: 0.88

(8)
A relaxed FeNi2HIr crystal. Source: Alexandria, functional PBE-GGA.

Lattice parameters (Å, degrees): 3.6295 3.6295 3.8363 90.00 90.00 90.00
Atoms (fractional coordinates):
Fe (0.0000, 0.0000, 0.0000)
Ni (0.0000, 0.5000, 0.5000)
Ni (0.5000, 0.0000, 0.5000)
H (0.0000, 0.0000, 0.5000)
Ir (0.5000, 0.5000, 0.0000)

Output
E above lowest polymorph, meV per atom: 28
M_tot, μB per atom: 0.85

Number 8 is which compound?
FeNi2HIr

Number 6 is which compound?
FeNi2HIr

What is the M_tot in the sixth record?
0.98 μB per atom

Among the records above, which one has the highest M_tot?
number 6